1:
Computed, not measured: V2AsIr2 after structural relaxation at the PBE-GGA level of DFT. Values from VASP.

Quantum ESPRESSO input file:
```
&SYSTEM
  ibrav = 0, nat = 5, ntyp = 3
/
ATOMIC_SPECIES
V 50.94 V.upf
As 74.92 As.upf
Ir 192.22 Ir.upf
CELL_PARAMETERS angstrom
-2.0107 2.0107 5.3238
2.0107 -2.0107 5.3238
2.0107 2.0107 -5.3238
ATOMIC_POSITIONS crystal
V 0.2500 0.7500 0.5000
V 0.7500 0.2500 0.5000
As 0.0000 0.0000 0.0000
Ir 0.3788 0.3788 0.0000
Ir 0.6212 0.6212 0.0000
```

The value obtained for the calculated volume is 17.22 Å³/atom.

***

2:
Computed, not measured: V2AsIr2 after structural relaxation at the PBE-GGA level of DFT. Values from VASP.

Quantum ESPRESSO input file:
```
&SYSTEM
  ibrav = 0, nat = 10, ntyp = 3
/
ATOMIC_SPECIES
V 50.94 V.upf
As 74.92 As.upf
Ir 192.22 Ir.upf
CELL_PARAMETERS angstrom
7.4400 0.0000 0.0000
0.0000 7.4400 0.0000
0.0000 0.0000 2.7709
ATOMIC_POSITIONS crystal
V 0.1564 0.3436 0.0000
V 0.3436 0.8436 0.0000
V 0.6564 0.1564 0.0000
V 0.8436 0.6564 0.0000
As 0.0000 0.0000 0.5000
As 0.5000 0.5000 0.5000
Ir 0.1358 0.6358 0.5000
Ir 0.3642 0.1358 0.5000
Ir 0.6358 0.8642 0.5000
Ir 0.8642 0.3642 0.5000
```

The value obtained for the calculated volume is 15.34 Å³/atom.

***

Pick 2: it beats the second-best structure by 24.5 kJ/mol of atoms.